1.
This record from the Alexandria database describes a geometry-optimized Er6Ga2Ni structure. The functional is PBE.

Lattice parameters (Å, degrees): 6.0050 8.1265 10.9668 90.00 120.77 90.00
With the nearest neighbours (Å) after each atom.
Sites, in units of the cell vectors:
Er: 0.0683 0.1766 0.4424  1 Ni 2.78, 2 Ga 2.98-3.07
Er: 0.0683 0.3234 0.9424  1 Ni 2.78, 2 Ga 2.98-3.07
Er: 0.3215 0.6770 0.4422  1 Ni 2.73, 1 Ga 3.04
Er: 0.3215 0.8230 0.9422  1 Ni 2.73, 1 Ga 3.04
Er: 0.3760 0.0315 0.2616  1 Ni 2.60
Er: 0.3760 0.4685 0.7616  1 Ni 2.60
Er: 0.6240 0.5315 0.2384  1 Ni 2.60
Er: 0.6240 0.9685 0.7384  1 Ni 2.60
Er: 0.6785 0.1770 0.0578  1 Ni 2.73, 1 Ga 3.04
Er: 0.6785 0.3230 0.5578  1 Ni 2.73, 1 Ga 3.04
Er: 0.9317 0.6766 0.0576  1 Ni 2.78, 2 Ga 2.98-3.07
Er: 0.9317 0.8234 0.5576  1 Ni 2.78, 2 Ga 2.98-3.07
Ga: 0.1782 0.1237 0.7515  8 Er 2.98-3.19
Ga: 0.1782 0.3763 0.2515  8 Er 2.98-3.19
Ga: 0.8218 0.6237 0.7485  8 Er 2.98-3.19
Ga: 0.8218 0.8763 0.2485  8 Er 2.98-3.19
Ni: 0.0000 0.0000 0.0000  6 Er 2.60-2.78
Ni: 0.0000 0.5000 0.5000  6 Er 2.60-2.78

Output
M_tot	0.000	μB per atom
SG	P2_1/c


2.
This record from the Alexandria database describes a geometry-optimized Er3Ga9Ni2 structure. The functional is PBE.

Lattice parameters (Å, degrees): 8.0409 8.0409 8.0409 150.07 105.02 82.78
With the nearest neighbours (Å) after each atom.
Sites, in units of the cell vectors:
Er: 0.0000 0.0000 0.0000  12 Ga 3.11-3.14, 4 Ni 3.48
Er: 0.3186 0.3186 0.0000  10 Ga 3.02-3.09, 2 Ni 3.04
Er: 0.6814 0.6814 0.0000  10 Ga 3.02-3.09, 2 Ni 3.04
Ga: 0.0305 0.6604 0.3701  1 Ni 2.46, 4 Ga 2.54-2.72
Ga: 0.1545 0.8740 0.2805  2 Ni 2.57, 4 Ga 2.58-2.72
Ga: 0.2902 0.6604 0.6299  1 Ni 2.46, 4 Ga 2.54-2.72
Ga: 0.4065 0.1260 0.2805  2 Ni 2.57, 4 Ga 2.58-2.72
Ga: 0.5000 0.0000 0.5000  4 Ga 2.63
Ga: 0.5935 0.8740 0.7195  2 Ni 2.57, 4 Ga 2.58-2.72
Ga: 0.7098 0.3396 0.3701  1 Ni 2.46, 4 Ga 2.54-2.72
Ga: 0.8455 0.1260 0.7195  2 Ni 2.57, 4 Ga 2.58-2.72
Ga: 0.9695 0.3396 0.6299  1 Ni 2.46, 4 Ga 2.54-2.72
Ni: 0.2850 0.5000 0.7850  6 Ga 2.46-2.57
Ni: 0.7150 0.5000 0.2150  6 Ga 2.46-2.57

Output
M_tot	0.000	μB per atom
SG	Immm


3.
This record from the Alexandria database describes a geometry-optimized Er2Ga2Ni structure. The functional is PBE.

Lattice parameters (Å, degrees): 5.6199 5.6199 10.3398 115.00 115.00 43.79
With the nearest neighbours (Å) after each atom.
Sites, in units of the cell vectors:
Er: 0.0074 0.0074 0.3327  7 Ga 2.97-3.21, 4 Ni 3.01-3.26
Er: 0.1896 0.1896 0.1176  6 Ga 2.99-3.08, 2 Ni 3.03
Er: 0.8104 0.8104 0.8824  6 Ga 2.99-3.08, 2 Ni 3.03
Er: 0.9926 0.9926 0.6673  7 Ga 2.97-3.21, 4 Ni 3.01-3.26
Ga: 0.3449 0.3449 0.4418  3 Ni 2.42-2.64
Ga: 0.4799 0.4799 0.1175  1 Ni 2.54, 1 Ga 2.65
Ga: 0.5201 0.5201 0.8825  1 Ni 2.54, 1 Ga 2.65
Ga: 0.6551 0.6551 0.5582  3 Ni 2.42-2.64
Ni: 0.2770 0.2770 0.6581  4 Ga 2.42-2.64
Ni: 0.7230 0.7230 0.3419  4 Ga 2.42-2.64

Output
M_tot	0.000	μB per atom
SG	C2/m


4.
This record from the Alexandria database describes a geometry-optimized ErGa6Ni6 structure. The functional is PBE.

Lattice parameters (Å, degrees): 6.4898 6.4898 6.4898 134.54 101.11 96.08
With the nearest neighbours (Å) after each atom.
Sites, in units of the cell vectors:
Er: 0.0000 0.0000 0.0000  8 Ga 2.82-2.99
Ga: 0.1844 0.6844 0.5000  6 Ni 2.48-2.53
Ga: 0.3423 0.0000 0.3423  1 Ga 2.60, 6 Ni 2.62-2.65, 1 Er 2.82
Ga: 0.3447 0.3447 0.0000  6 Ni 2.55, 1 Ga 2.70
Ga: 0.6553 0.6553 0.0000  6 Ni 2.55, 1 Ga 2.70
Ga: 0.6577 0.0000 0.6577  1 Ga 2.60, 6 Ni 2.62-2.65, 1 Er 2.82
Ga: 0.8156 0.3156 0.5000  6 Ni 2.48-2.53
Ni: 0.0000 0.0000 0.5000  6 Ga 2.48-2.62, 4 Ni 2.51
Ni: 0.0000 0.5000 0.0000  6 Ga 2.48-2.62, 4 Ni 2.51
Ni: 0.2374 0.5000 0.7374  4 Ni 2.51, 6 Ga 2.53-2.65
Ni: 0.5000 0.0000 0.0000  6 Ga 2.48-2.62, 4 Ni 2.51
Ni: 0.5000 0.5000 0.5000  6 Ga 2.48-2.62, 4 Ni 2.51
Ni: 0.7626 0.5000 0.2626  4 Ni 2.51, 6 Ga 2.53-2.65

Output
M_tot	0.000	μB per atom
SG	Immm


VASP energy
In order: -4.668; -4.302; -4.820; -4.898
Unit: eV per atom
DOS(E_F)
In order: 19.83; 4.82; 7.85; 8.62
Unit: states/eV per cell